# 1
# TbAlGa6 | Alexandria via LeMat-Bulk | GGA-PBE | optimized geometry
data_TbAlGa6
_chemical_formula_sum 'Tb2 Al2 Ga12'
_cell_length_a 6.722
_cell_length_b 9.312
_cell_length_c 6.210
_cell_angle_alpha 90.00
_cell_angle_beta 121.63
_cell_angle_gamma 90.00
_space_group_name_H-M_alt 'C 1 2/m 1'
_space_group_IT_number 12
_space_group_name_Hall '-C 2y'
loop_
_atom_site_label
_atom_site_type_symbol
_atom_site_fract_x
_atom_site_fract_y
_atom_site_fract_z
Tb1 Tb 0.000 0.000 0.000
Al1 Al 0.000 0.500 0.500
Ga1 Ga 0.075 0.262 0.762
Ga2 Ga 0.227 0.000 0.676
# * formation enthalpy at 0 K: -0.916 eV/f.u.

---

# 2
# YCuPdO4 | Alexandria via LeMat-Bulk | GGA-PBE | optimized geometry
data_YCuPdO4
_chemical_formula_sum 'Y4 Cu4 Pd4 O16'
_cell_length_a 6.295
_cell_length_b 6.723
_cell_length_c 8.613
_cell_angle_alpha 90.00
_cell_angle_beta 90.00
_cell_angle_gamma 90.00
_space_group_name_H-M_alt 'I m m a'
_space_group_IT_number 74
_space_group_name_Hall '-I 2b 2'
loop_
_atom_site_label
_atom_site_type_symbol
_atom_site_fract_x
_atom_site_fract_y
_atom_site_fract_z
Y1 Y 0.000 0.000 0.000
Cu1 Cu 0.000 0.250 0.383
Pd1 Pd 0.250 0.250 0.750
O1 O 0.000 0.035 0.735
O2 O 0.236 0.250 0.994
# * formation energy without anion corrections: -1431 meV per atom

---

# 3
# BiIrOs2Se | Alexandria via LeMat-Bulk | GGA-PBE | optimized geometry
data_BiIrOs2Se
_chemical_formula_sum 'Bi1 Ir1 Os2 Se1'
_cell_length_a 4.612
_cell_length_b 4.612
_cell_length_c 4.711
_cell_angle_alpha 90.00
_cell_angle_beta 90.00
_cell_angle_gamma 90.00
_space_group_name_H-M_alt 'P 4/m m m'
_space_group_IT_number 123
_space_group_name_Hall '-P 4 2'
loop_
_atom_site_label
_atom_site_type_symbol
_atom_site_fract_x
_atom_site_fract_y
_atom_site_fract_z
Bi1 Bi 0.000 0.000 0.000
Ir1 Ir 0.500 0.500 0.000
Os1 Os 0.000 0.500 0.500
Se1 Se 0.500 0.500 0.500
# * formation energy without anion corrections: 1428 meV per atom

---

# 4
# Sr2NiSnHg | Alexandria via LeMat-Bulk | GGA-PBE | optimized geometry
data_Sr2NiSnHg
_chemical_formula_sum 'Sr2 Ni1 Sn1 Hg1'
_cell_length_a 5.790
_cell_length_b 5.790
_cell_length_c 4.790
_cell_angle_alpha 90.00
_cell_angle_beta 90.00
_cell_angle_gamma 90.00
_space_group_name_H-M_alt 'P 4/m m m'
_space_group_IT_number 123
_space_group_name_Hall '-P 4 2'
loop_
_atom_site_label
_atom_site_type_symbol
_atom_site_fract_x
_atom_site_fract_y
_atom_site_fract_z
Sr1 Sr 0.000 0.500 0.000
Ni1 Ni 0.000 0.000 0.000
Sn1 Sn 0.000 0.000 0.500
Hg1 Hg 0.500 0.500 0.500
# * formation enthalpy at 0 K: -1.817 eV/f.u.

---

# 5
# YCuSi2 | Alexandria via LeMat-Bulk | GGA-PBE | optimized geometry
data_YCuSi2
_chemical_formula_sum 'Y8 Cu8 Si16'
_cell_length_a 13.334
_cell_length_b 3.990
_cell_length_c 10.356
_cell_angle_alpha 90.00
_cell_angle_beta 90.00
_cell_angle_gamma 90.00
_space_group_name_H-M_alt 'P n m a'
_space_group_IT_number 62
_space_group_name_Hall '-P 2ac 2n'
loop_
_atom_site_label
_atom_site_type_symbol
_atom_site_fract_x
_atom_site_fract_y
_atom_site_fract_z
Y1 Y 0.050 0.250 0.250
Y2 Y 0.200 0.750 0.529
Cu1 Cu 0.052 0.250 0.953
Cu2 Cu 0.207 0.750 0.823
Si1 Si 0.034 0.250 0.540
Si2 Si 0.114 0.250 0.741
Si3 Si 0.129 0.750 0.034
Si4 Si 0.209 0.750 0.238
# * formation energy without anion corrections: -569 meV per atom

---

# 6
# TaAgBr2 | Alexandria via LeMat-Bulk | GGA-PBE | optimized geometry
data_TaAgBr2
_chemical_formula_sum 'Ta3 Ag3 Br6'
_cell_length_a 3.2757
_cell_length_b 3.2757
_cell_length_c 29.1459
_cell_angle_alpha 90.00
_cell_angle_beta 90.00
_cell_angle_gamma 120.00
_space_group_name_H-M_alt 'R 3 m'
_space_group_IT_number 160
_space_group_name_Hall 'R 3 -2"'
loop_
_atom_site_label
_atom_site_type_symbol
_atom_site_fract_x
_atom_site_fract_y
_atom_site_fract_z
Ta1 Ta 0.0000 0.0000 0.0000
Ag1 Ag 0.0000 0.0000 0.7429
Br1 Br 0.0000 0.0000 0.2696
Br2 Br 0.0000 0.0000 0.4835
# * formation energy without anion corrections: -20 meV per atom